No. 1
Computed, not measured: a relaxed SiTcMo crystal at the PBE level of DFT.

Results
The calculation puts the total energy at -106.17 eV per cell. The uncorrected formation energy is 26 meV/atom. Its distance to the lowest polymorph of the same formula is 398.8 meV/atom.

```
data_SiTcMo
_symmetry_space_group_name_H-M 'F -4 3 m'
_symmetry_Int_Tables_number 216
_symmetry_space_group_name_Hall 'F -4 2 3'
_cell_length_a 5.865
_cell_length_b 5.865
_cell_length_c 5.865
_cell_angle_alpha 90.00
_cell_angle_beta 90.00
_cell_angle_gamma 90.00
loop_
_atom_site_label
_atom_site_type_symbol
_atom_site_fract_x
_atom_site_fract_y
_atom_site_fract_z
_atom_site_occupancy
Si1 Si 0.000 0.000 0.000 1
Tc1 Tc 0.250 0.250 0.250 1
Mo1 Mo 0.000 0.000 0.500 1
```

No. 2
Computed, not measured: a relaxed Zr2PaCd2 crystal at the PBE level of DFT.

Results
The calculation puts the total energy at -56.83 eV per cell.

```
data_Zr2PaCd2
_symmetry_space_group_name_H-M 'C m m m'
_symmetry_Int_Tables_number 65
_symmetry_space_group_name_Hall '-C 2 2'
_cell_length_a 3.042
_cell_length_b 24.912
_cell_length_c 3.064
_cell_angle_alpha 90.00
_cell_angle_beta 90.00
_cell_angle_gamma 90.00
loop_
_atom_site_label
_atom_site_type_symbol
_atom_site_fract_x
_atom_site_fract_y
_atom_site_fract_z
_atom_site_occupancy
Zr1 Zr 0.000 0.102 0.000 1
Pa1 Pa 0.000 0.500 0.500 1
Cd1 Cd 0.000 0.302 0.500 1
```

No. 3
Computed, not measured: a relaxed Gd2PuCd crystal at the PBE level of DFT.

Results
The calculation puts the total energy at -43.67 eV per cell. Its distance to the lowest polymorph of the same formula is 0.0 meV/atom.

```
data_Gd2PuCd
_symmetry_space_group_name_H-M 'P 4/m m m'
_symmetry_Int_Tables_number 123
_symmetry_space_group_name_Hall '-P 4 2'
_cell_length_a 3.586
_cell_length_b 3.586
_cell_length_c 8.975
_cell_angle_alpha 90.00
_cell_angle_beta 90.00
_cell_angle_gamma 90.00
loop_
_atom_site_label
_atom_site_type_symbol
_atom_site_fract_x
_atom_site_fract_y
_atom_site_fract_z
_atom_site_occupancy
Gd1 Gd 0.000 0.000 0.231 1
Pu1 Pu 0.500 0.500 0.500 1
Cd1 Cd 0.500 0.500 0.000 1
```

No. 4
Computed, not measured: a relaxed InHgF2 crystal at the PBE level of DFT.

Results
The calculation puts the total energy at -38.18 eV per cell. The uncorrected formation energy is -1486 meV/atom. Its distance to the lowest polymorph of the same formula is 150.3 meV/atom.

```
data_InHgF2
_symmetry_space_group_name_H-M 'R -3 m'
_symmetry_Int_Tables_number 166
_symmetry_space_group_name_Hall '-R 3 2"'
_cell_length_a 3.6778
_cell_length_b 3.6778
_cell_length_c 26.8591
_cell_angle_alpha 90.00
_cell_angle_beta 90.00
_cell_angle_gamma 120.00
loop_
_atom_site_label
_atom_site_type_symbol
_atom_site_fract_x
_atom_site_fract_y
_atom_site_fract_z
_atom_site_occupancy
In1 In 0.0000 0.0000 0.0000 1
Hg1 Hg 0.0000 0.0000 0.5000 1
F1 F 0.0000 0.0000 0.3704 1
```

No. 5
Computed, not measured: a relaxed SmAlSn crystal at the PBE level of DFT.

Results
The calculation puts the total energy at -24.18 eV per cell.

```
data_SmAlSn
_symmetry_space_group_name_H-M 'I 4 m m'
_symmetry_Int_Tables_number 107
_symmetry_space_group_name_Hall 'I 4 -2'
_cell_length_a 3.286
_cell_length_b 3.286
_cell_length_c 16.072
_cell_angle_alpha 90.00
_cell_angle_beta 90.00
_cell_angle_gamma 90.00
loop_
_atom_site_label
_atom_site_type_symbol
_atom_site_fract_x
_atom_site_fract_y
_atom_site_fract_z
_atom_site_occupancy
Sm1 Sm 0.000 0.000 0.000 1
Al1 Al 0.000 0.000 0.188 1
Sn1 Sn 0.000 0.000 0.358 1
```

No. 6
Computed, not measured: a relaxed Tb6Tl3Hg crystal at the PBE level of DFT.

Results
The calculation puts the total energy at -76.09 eV per cell. Its distance to the lowest polymorph of the same formula is 0.0 meV/atom.

```
data_Tb6Tl3Hg
_symmetry_space_group_name_H-M 'P 1 21/m 1'
_symmetry_Int_Tables_number 11
_cell_length_a 9.521
_cell_length_b 5.326
_cell_length_c 11.675
_cell_angle_alpha 90.00
_cell_angle_beta 107.29
_cell_angle_gamma 90.00
loop_
_symmetry_equiv_pos_as_xyz
'x,y,z'
'-x,-y,-z'
'-x,y+1/2,-z'
'x,-y+1/2,z'
loop_
_atom_site_label
_atom_site_type_symbol
_atom_site_fract_x
_atom_site_fract_y
_atom_site_fract_z
_atom_site_occupancy
Tb1 Tb 0.037 0.250 0.406 1
Tb2 Tb 0.157 0.750 0.180 1
Tb3 Tb 0.263 0.250 0.000 1
Tb4 Tb 0.350 0.750 0.818 1
Tb5 Tb 0.370 0.250 0.336 1
Tb6 Tb 0.398 0.250 0.621 1
Tl1 Tl 0.030 0.750 0.889 1
Tl2 Tl 0.127 0.250 0.715 1
Tl3 Tl 0.278 0.750 0.473 1
Hg1 Hg 0.444 0.750 0.111 1
```

No. 7
Computed, not measured: a relaxed BeVH2 crystal at the PBE level of DFT.

Results
The calculation puts the total energy at -78.24 eV per cell. Its distance to the lowest polymorph of the same formula is 0.0 meV/atom.

```
data_BeVH2
_symmetry_space_group_name_H-M 'C 1 2/c 1'
_symmetry_Int_Tables_number 15
_cell_length_a 9.464
_cell_length_b 2.861
_cell_length_c 4.837
_cell_angle_alpha 90.00
_cell_angle_beta 119.43
_cell_angle_gamma 90.00
loop_
_symmetry_equiv_pos_as_xyz
'x,y,z'
'-x,-y,-z'
'-x,y,-z+1/2'
'x,-y,z+1/2'
'x+1/2,y+1/2,z'
'-x+1/2,-y+1/2,-z'
'-x+1/2,y+1/2,-z+1/2'
'x+1/2,-y+1/2,z+1/2'
loop_
_atom_site_label
_atom_site_type_symbol
_atom_site_fract_x
_atom_site_fract_y
_atom_site_fract_z
_atom_site_occupancy
Be1 Be 0.000 0.000 0.000 1
V1 V 0.250 0.250 0.000 1
H1 H 0.156 0.250 0.245 1
```

No. 8
Computed, not measured: a relaxed ZrSb2Br crystal at the PBE level of DFT.

Results
The calculation puts the total energy at -40.31 eV per cell. The uncorrected formation energy is -422 meV/atom. Its distance to the lowest polymorph of the same formula is 92.8 meV/atom.

```
data_ZrSb2Br
_symmetry_space_group_name_H-M 'I m m 2'
_symmetry_Int_Tables_number 44
_cell_length_a 3.296
_cell_length_b 5.097
_cell_length_c 16.051
_cell_angle_alpha 90.00
_cell_angle_beta 90.00
_cell_angle_gamma 90.00
loop_
_symmetry_equiv_pos_as_xyz
'x,y,z'
'-x,-y,z'
'-x,y,z'
'x,-y,z'
'x+1/2,y+1/2,z+1/2'
'-x+1/2,-y+1/2,z+1/2'
'-x+1/2,y+1/2,z+1/2'
'x+1/2,-y+1/2,z+1/2'
loop_
_atom_site_label
_atom_site_type_symbol
_atom_site_fract_x
_atom_site_fract_y
_atom_site_fract_z
_atom_site_occupancy
Zr1 Zr 0.000 0.000 0.000 1
Sb1 Sb 0.000 0.000 0.442 1
Sb2 Sb 0.000 0.500 0.338 1
Br1 Br 0.000 0.500 0.633 1
```

No. 9
Computed, not measured: a relaxed Re3Ir crystal at the PBE level of DFT.

Results
The calculation puts the total energy at -46.88 eV per cell.

```
data_Re3Ir
_symmetry_space_group_name_H-M 'P m m 2'
_symmetry_Int_Tables_number 25
_cell_length_a 2.764
_cell_length_b 4.430
_cell_length_c 4.822
_cell_angle_alpha 90.00
_cell_angle_beta 90.00
_cell_angle_gamma 90.00
loop_
_symmetry_equiv_pos_as_xyz
'x,y,z'
'-x,-y,z'
'-x,y,z'
'x,-y,z'
loop_
_atom_site_label
_atom_site_type_symbol
_atom_site_fract_x
_atom_site_fract_y
_atom_site_fract_z
_atom_site_occupancy
Re1 Re 0.000 0.000 0.000 1
Re2 Re 0.000 0.500 0.330 1
Re3 Re 0.500 0.500 0.830 1
Ir1 Ir 0.500 0.000 0.493 1
```

No. 10
Computed, not measured: a relaxed Ba2BeSn crystal at the PBE level of DFT.

Results
The calculation puts the total energy at -46.22 eV per cell. Its distance to the lowest polymorph of the same formula is 0.0 meV/atom.

```
data_Ba2BeSn
_symmetry_space_group_name_H-M 'F m -3 m'
_symmetry_Int_Tables_number 225
_symmetry_space_group_name_Hall '-F 4 2 3'
_cell_length_a 8.312
_cell_length_b 8.312
_cell_length_c 8.312
_cell_angle_alpha 90.00
_cell_angle_beta 90.00
_cell_angle_gamma 90.00
loop_
_atom_site_label
_atom_site_type_symbol
_atom_site_fract_x
_atom_site_fract_y
_atom_site_fract_z
_atom_site_occupancy
Ba1 Ba 0.250 0.250 0.250 1
Be1 Be 0.000 0.000 0.000 1
Sn1 Sn 0.000 0.000 0.500 1
```

No. 11
Computed, not measured: a relaxed CeCd2Au crystal at the PBE level of DFT.

Results
The calculation puts the total energy at -12.12 eV per cell.

```
data_CeCd2Au
_symmetry_space_group_name_H-M 'P 4/m m m'
_symmetry_Int_Tables_number 123
_symmetry_space_group_name_Hall '-P 4 2'
_cell_length_a 4.368
_cell_length_b 4.368
_cell_length_c 5.143
_cell_angle_alpha 90.00
_cell_angle_beta 90.00
_cell_angle_gamma 90.00
loop_
_atom_site_label
_atom_site_type_symbol
_atom_site_fract_x
_atom_site_fract_y
_atom_site_fract_z
_atom_site_occupancy
Ce1 Ce 0.000 0.000 0.000 1
Cd1 Cd 0.000 0.500 0.500 1
Au1 Au 0.500 0.500 0.000 1
```

No. 12
Computed, not measured: a relaxed CrB2PdPt crystal at the PBE level of DFT.

Results
The calculation puts the total energy at -29.98 eV per cell.

```
data_CrB2PdPt
_symmetry_space_group_name_H-M 'P 4/m m m'
_symmetry_Int_Tables_number 123
_symmetry_space_group_name_Hall '-P 4 2'
_cell_length_a 3.977
_cell_length_b 3.977
_cell_length_c 5.288
_cell_angle_alpha 90.00
_cell_angle_beta 90.00
_cell_angle_gamma 90.00
loop_
_atom_site_label
_atom_site_type_symbol
_atom_site_fract_x
_atom_site_fract_y
_atom_site_fract_z
_atom_site_occupancy
Cr1 Cr 0.000 0.000 0.000 1
B1 B 0.000 0.500 0.500 1
Pd1 Pd 0.500 0.500 0.000 1
Pt1 Pt 0.500 0.500 0.500 1
```

No. 13
Computed, not measured: a relaxed RbMgTi2 crystal at the PBE level of DFT.

Results
The calculation puts the total energy at -54.12 eV per cell.

```
data_RbMgTi2
_symmetry_space_group_name_H-M 'I -4 2 d'
_symmetry_Int_Tables_number 122
_symmetry_space_group_name_Hall 'I -4 2bw'
_cell_length_a 4.499
_cell_length_b 4.499
_cell_length_c 22.968
_cell_angle_alpha 90.00
_cell_angle_beta 90.00
_cell_angle_gamma 90.00
loop_
_atom_site_label
_atom_site_type_symbol
_atom_site_fract_x
_atom_site_fract_y
_atom_site_fract_z
_atom_site_occupancy
Rb1 Rb 0.000 0.000 0.000 1
Mg1 Mg 0.000 0.000 0.500 1
Ti1 Ti 0.109 0.250 0.625 1
```

No. 14
Computed, not measured: a relaxed La2CrGa2 crystal at the PBE level of DFT.

Results
The calculation puts the total energy at -46.78 eV per cell. Its distance to the lowest polymorph of the same formula is 308.7 meV/atom.

```
data_La2CrGa2
_symmetry_space_group_name_H-M 'P 4/m b m'
_symmetry_Int_Tables_number 127
_symmetry_space_group_name_Hall '-P 4 2ab'
_cell_length_a 7.570
_cell_length_b 7.570
_cell_length_c 4.553
_cell_angle_alpha 90.00
_cell_angle_beta 90.00
_cell_angle_gamma 90.00
loop_
_atom_site_label
_atom_site_type_symbol
_atom_site_fract_x
_atom_site_fract_y
_atom_site_fract_z
_atom_site_occupancy
La1 La 0.180 0.320 0.000 1
Cr1 Cr 0.000 0.000 0.000 1
Ga1 Ga 0.125 0.625 0.500 1
```

No. 15
Computed, not measured: a relaxed Pr6InGe2Br3 crystal at the PBE level of DFT.

Results
The calculation puts the total energy at -115.89 eV per cell. The uncorrected formation energy is -1023 meV/atom.

```
data_Pr6InGe2Br3
_symmetry_space_group_name_H-M 'C 1 2/m 1'
_symmetry_Int_Tables_number 12
_cell_length_a 19.374
_cell_length_b 4.340
_cell_length_c 8.985
_cell_angle_alpha 90.00
_cell_angle_beta 103.12
_cell_angle_gamma 90.00
loop_
_symmetry_equiv_pos_as_xyz
'x,y,z'
'-x,-y,-z'
'-x,y,-z'
'x,-y,z'
'x+1/2,y+1/2,z'
'-x+1/2,-y+1/2,-z'
'-x+1/2,y+1/2,-z'
'x+1/2,-y+1/2,z'
loop_
_atom_site_label
_atom_site_type_symbol
_atom_site_fract_x
_atom_site_fract_y
_atom_site_fract_z
_atom_site_occupancy
Pr1 Pr 0.010 0.000 0.255 1
Pr2 Pr 0.166 0.500 0.113 1
Pr3 Pr 0.175 0.500 0.568 1
In1 In 0.000 0.500 0.000 1
Ge1 Ge 0.167 0.000 0.338 1
Br1 Br 0.000 0.500 0.500 1
Br2 Br 0.167 0.000 0.834 1
```

No. 16
Computed, not measured: a relaxed YCr2Si crystal at the PBE level of DFT.

Results
The calculation puts the total energy at -31.03 eV per cell. The uncorrected formation energy is 26 meV/atom.

```
data_YCr2Si
_symmetry_space_group_name_H-M 'P 1 m 1'
_symmetry_Int_Tables_number 6
_cell_length_a 3.177
_cell_length_b 3.954
_cell_length_c 5.984
_cell_angle_alpha 90.00
_cell_angle_beta 104.43
_cell_angle_gamma 90.00
loop_
_symmetry_equiv_pos_as_xyz
'x,y,z'
'x,-y,z'
loop_
_atom_site_label
_atom_site_type_symbol
_atom_site_fract_x
_atom_site_fract_y
_atom_site_fract_z
_atom_site_occupancy
Y1 Y 0.000 0.000 0.000 1
Cr1 Cr 0.271 0.000 0.504 1
Cr2 Cr 0.730 0.500 0.428 1
Si1 Si 0.388 0.500 0.762 1
```

No. 17
Computed, not measured: a relaxed Li2PdPtN crystal at the PBE level of DFT.

Results
The calculation puts the total energy at -24.77 eV per cell. The uncorrected formation energy is -277 meV/atom.

```
data_Li2PdPtN
_symmetry_space_group_name_H-M 'P 4/m m m'
_symmetry_Int_Tables_number 123
_symmetry_space_group_name_Hall '-P 4 2'
_cell_length_a 4.075
_cell_length_b 4.075
_cell_length_c 3.842
_cell_angle_alpha 90.00
_cell_angle_beta 90.00
_cell_angle_gamma 90.00
loop_
_atom_site_label
_atom_site_type_symbol
_atom_site_fract_x
_atom_site_fract_y
_atom_site_fract_z
_atom_site_occupancy
Li1 Li 0.000 0.500 0.000 1
Pd1 Pd 0.000 0.000 0.500 1
Pt1 Pt 0.500 0.500 0.500 1
N1 N 0.500 0.500 0.000 1
```

No. 18
Computed, not measured: a relaxed KSiAsOs2 crystal at the PBE level of DFT.

Results
The calculation puts the total energy at -26.59 eV per cell. The uncorrected formation energy is 1408 meV/atom.

```
data_KSiAsOs2
_symmetry_space_group_name_H-M 'P 4/m m m'
_symmetry_Int_Tables_number 123
_symmetry_space_group_name_Hall '-P 4 2'
_cell_length_a 4.649
_cell_length_b 4.649
_cell_length_c 5.171
_cell_angle_alpha 90.00
_cell_angle_beta 90.00
_cell_angle_gamma 90.00
loop_
_atom_site_label
_atom_site_type_symbol
_atom_site_fract_x
_atom_site_fract_y
_atom_site_fract_z
_atom_site_occupancy
K1 K 0.000 0.000 0.000 1
Si1 Si 0.500 0.500 0.000 1
As1 As 0.500 0.500 0.500 1
Os1 Os 0.000 0.500 0.500 1
```

No. 19
Computed, not measured: a relaxed BaInGeRh crystal at the PBE level of DFT.

Results
The calculation puts the total energy at -37.71 eV per cell.

```
data_BaInGeRh
_symmetry_space_group_name_H-M 'P 4/n m m'
_symmetry_Int_Tables_number 129
_cell_length_a 4.248
_cell_length_b 4.248
_cell_length_c 12.375
_cell_angle_alpha 90.00
_cell_angle_beta 90.00
_cell_angle_gamma 90.00
loop_
_symmetry_equiv_pos_as_xyz
'x,y,z'
'-x,-y,-z'
'-y+1/2,x,z'
'y+1/2,-x,-z'
'-x+1/2,-y+1/2,z'
'x+1/2,y+1/2,-z'
'y,-x+1/2,z'
'-y,x+1/2,-z'
'x+1/2,-y,-z'
'-x+1/2,y,z'
'-y,-x,-z'
'y,x,z'
'-x,y+1/2,-z'
'x,-y+1/2,z'
'y+1/2,x+1/2,-z'
'-y+1/2,-x+1/2,z'
loop_
_atom_site_label
_atom_site_type_symbol
_atom_site_fract_x
_atom_site_fract_y
_atom_site_fract_z
_atom_site_occupancy
Ba1 Ba 0.250 0.250 0.236 1
In1 In 0.250 0.750 0.500 1
Ge1 Ge 0.250 0.250 0.897 1
Rh1 Rh 0.250 0.750 0.000 1
```

No. 20
Computed, not measured: a relaxed NiRuSe2 crystal at the PBE level of DFT.

Results
The calculation puts the total energy at -40.87 eV per cell. The uncorrected formation energy is 397 meV/atom. Its distance to the lowest polymorph of the same formula is 589.9 meV/atom.

```
data_NiRuSe2
_symmetry_space_group_name_H-M 'I -4 m 2'
_symmetry_Int_Tables_number 119
_symmetry_space_group_name_Hall 'I -4 -2'
_cell_length_a 3.697
_cell_length_b 3.697
_cell_length_c 8.933
_cell_angle_alpha 90.00
_cell_angle_beta 90.00
_cell_angle_gamma 90.00
loop_
_atom_site_label
_atom_site_type_symbol
_atom_site_fract_x
_atom_site_fract_y
_atom_site_fract_z
_atom_site_occupancy
Ni1 Ni 0.000 0.000 0.000 1
Ru1 Ru 0.000 0.500 0.750 1
Se1 Se 0.000 0.000 0.500 1
Se2 Se 0.000 0.500 0.250 1
```